# 1
Below is a geometry-optimized KRbCaH4 structure, with properties calculated at the PBE level.

Results
Uncorrected energy ... -19.8 eV per cell

Cell: 4.4356 4.4356 7.8486 Å, 106.41 106.41 90.00°
Closest atoms and distances in Å follow each position.
Sites, in units of the cell vectors:
Rb: 0.3500 0.3500 0.6999  1 H 2.76
Ca: 0.0002 0.0002 0.0003  6 H 2.22-2.32
K: 0.6469 0.6469 0.2937  5 H 2.77-3.03
H: 0.0030 0.5030 0.0061  2 Ca 2.22
H: 0.5030 0.0030 0.0061  2 Ca 2.22
H: 0.1579 0.1579 0.3157  1 Ca 2.27
H: 0.8391 0.8391 0.6782  1 Ca 2.32

# 2
Below is a geometry-optimized AcDy5Hg4 structure, with properties calculated at the PBE level.

Results
DFT formation energy ... -0.37 eV per atom

Cell: 3.7384 3.7384 20.1030 Å, 90.00 90.00 90.00°
Closest atoms and distances in Å follow each position.
Sites, in units of the cell vectors:
Dy: 0.5000 0.5000 0.3167  8 Hg 3.21-3.25
Dy: 0.5000 0.5000 0.8668  4 Hg 3.20
Hg: 0.0000 0.0000 0.4070  8 Dy 3.21-3.24
Hg: 0.0000 0.0000 0.2226  8 Dy 3.20-3.25
Hg: 0.0000 0.0000 0.5930  8 Dy 3.21-3.24
Hg: 0.0000 0.0000 0.7774  8 Dy 3.20-3.25
Dy: 0.5000 0.5000 0.5000  8 Hg 3.24
Dy: 0.5000 0.5000 0.6833  8 Hg 3.21-3.25
Ac: 0.0000 0.0000 0.0000  4 Ac 3.74, 8 Dy 3.76
Dy: 0.5000 0.5000 0.1332  4 Hg 3.20

Computed values of magnetic moment (unit: μB/cell) for the preceding records, in sequence: 0.00; 0.02.